Computed, not measured: crystalline Hf3CdH at its relaxed geometry at the PBE-GGA level of DFT.

Calculated total energy: -6.892 eV/atom

The structure in POSCAR format:
```
Hf3CdH
1.0
3.277 0.000 0.000
0.000 9.568 0.000
-1.634 0.000 5.746
Hf Cd H
6 2 2
Cartesian
0.002 2.392 0.311
0.003 0.263 4.269
0.003 4.521 4.269
1.639 5.047 1.477
1.639 9.305 1.477
1.641 7.176 5.434
0.001 7.176 2.910
1.641 2.392 2.836
0.005 2.392 4.844
1.637 7.176 0.901
```


Computed, not measured: crystalline Hf3CdH at its relaxed geometry at the PBE-GGA level of DFT.

Calculated total energy: -5.636 eV/atom

The structure in POSCAR format:
```
Hf3CdH
1.0
-2.556 2.556 10.711
2.556 -2.556 10.711
2.556 2.556 -10.711
Hf Cd H
6 2 2
Cartesian
0.000 0.000 4.145
1.264 2.556 -2.797
1.291 0.000 7.914
2.556 1.264 2.797
0.000 0.000 17.277
0.000 1.291 13.508
2.556 0.000 5.355
0.000 0.000 10.711
0.000 2.556 3.278
0.000 2.556 7.433
```


Computed, not measured: crystalline Hf2CdH2 at its relaxed geometry at the PBE-GGA level of DFT.

Calculated total energy: -5.760 eV/atom

The structure in POSCAR format:
```
Hf2CdH2
1.0
3.712 0.000 0.000
0.000 3.712 0.000
0.000 0.000 9.840
Hf Cd H
4 2 4
Cartesian
0.000 0.000 1.559
0.000 0.000 8.281
1.856 1.856 3.361
1.856 1.856 6.479
0.000 0.000 4.920
1.856 1.856 0.000
0.000 1.856 2.460
0.000 1.856 7.380
1.856 0.000 2.460
1.856 0.000 7.380
```


Computed, not measured: crystalline Hf3CdH at its relaxed geometry at the PBE-GGA level of DFT.

Calculated total energy: -6.762 eV/atom

The structure in POSCAR format:
```
Hf3CdH
1.0
2.807 1.621 7.263
-2.807 1.621 7.263
0.000 -3.242 7.263
Hf Cd H
6 2 2
Cartesian
-1.841 0.048 8.465
-0.962 -1.570 13.323
0.879 -1.619 8.465
-0.879 1.619 13.323
0.962 1.570 8.465
1.841 -0.048 13.323
0.000 0.000 3.660
0.000 0.000 18.128
0.000 0.000 7.305
0.000 0.000 14.483
```


Computed, not measured: crystalline Hf3CdH at its relaxed geometry at the PBE-GGA level of DFT.

Calculated total energy: -6.740 eV/atom

The structure in POSCAR format:
```
Hf3CdH
1.0
7.894 -1.525 0.000
7.894 1.525 0.000
-1.293 0.000 7.871
Hf Cd H
6 2 2
Cartesian
0.309 0.000 1.523
1.391 0.000 7.532
3.728 0.000 5.403
10.766 0.000 2.468
13.103 0.000 0.339
14.185 0.000 6.348
0.797 0.000 4.467
13.698 0.000 3.404
4.993 0.000 6.982
9.501 0.000 0.890
```


Computed, not measured: crystalline Hf3CdH at its relaxed geometry at the PBE-GGA level of DFT.

Calculated total energy: -6.959 eV/atom

The structure in POSCAR format:
```
Hf3CdH
1.0
3.213 -3.194 0.000
3.213 3.194 0.000
-3.199 0.000 8.819
Hf Cd H
6 2 2
Cartesian
0.000 0.000 0.000
0.027 0.000 4.351
1.593 1.532 6.688
3.208 0.000 0.023
3.173 0.000 4.405
1.593 -1.532 6.688
1.605 1.597 2.215
1.605 -1.597 2.215
-1.613 0.000 5.460
0.095 0.000 6.713
```


Computed, not measured: crystalline HfCd3H at its relaxed geometry at the PBE-GGA level of DFT.

Calculated total energy: -2.840 eV/atom

The structure in POSCAR format:
```
HfCd3H
1.0
4.468 0.000 0.000
0.000 4.468 0.000
0.000 0.000 4.468
Hf Cd H
1 3 1
Cartesian
0.000 0.000 0.000
0.000 2.234 2.234
2.234 0.000 2.234
2.234 2.234 0.000
2.234 2.234 2.234
```


Computed, not measured: crystalline Hf3CdH at its relaxed geometry at the PBE-GGA level of DFT.

Calculated total energy: -6.232 eV/atom

The structure in POSCAR format:
```
Hf3CdH
1.0
4.168 0.000 0.000
0.000 4.168 0.000
0.000 0.000 7.319
Hf Cd H
3 1 1
Cartesian
0.000 0.000 0.000
0.000 2.084 5.227
2.084 0.000 5.227
0.000 0.000 2.982
2.084 2.084 4.853
```


Computed, not measured: crystalline HfCdH3 at its relaxed geometry at the PBE-GGA level of DFT.

Calculated total energy: -4.193 eV/atom

The structure in POSCAR format:
```
HfCdH3
1.0
3.843 0.000 0.000
0.000 3.843 0.000
0.000 0.000 3.843
Hf Cd H
1 1 3
Cartesian
0.000 0.000 0.000
1.921 1.921 1.921
0.000 0.000 1.921
0.000 1.921 0.000
1.921 0.000 0.000
```


Computed, not measured: crystalline Hf3CdH at its relaxed geometry at the PBE-GGA level of DFT.

Calculated total energy: -6.974 eV/atom

The structure in POSCAR format:
```
Hf3CdH
1.0
4.430 0.000 0.000
0.000 4.430 0.000
0.000 0.000 4.430
Hf Cd H
3 1 1
Cartesian
0.000 0.000 2.215
0.000 2.215 0.000
2.215 0.000 0.000
2.215 2.215 2.215
0.000 0.000 0.000
```


Computed, not measured: crystalline Hf3CdH at its relaxed geometry at the PBE-GGA level of DFT.

Calculated total energy: -6.551 eV/atom

The structure in POSCAR format:
```
Hf3CdH
1.0
8.955 0.000 0.000
-4.478 7.756 0.000
0.000 0.000 4.060
Hf Cd H
9 3 3
Cartesian
-1.803 4.129 0.000
0.000 2.082 1.353
-2.675 6.715 1.353
2.675 1.544 2.707
1.803 4.129 0.000
0.000 7.252 0.000
2.675 6.715 1.353
6.281 1.544 2.707
4.478 4.667 2.707
0.000 0.000 3.320
0.000 5.170 1.967
4.478 2.585 0.614
0.000 0.000 1.174
0.000 5.170 3.881
4.478 2.585 2.527
```


Computed, not measured: crystalline Hf3CdH at its relaxed geometry at the PBE-GGA level of DFT.

Calculated total energy: -6.921 eV/atom

The structure in POSCAR format:
```
Hf3CdH
1.0
4.873 -8.026 0.000
4.873 8.026 0.000
0.000 0.000 4.648
Hf Cd H
12 4 4
Cartesian
1.318 1.054 2.324
3.772 4.911 0.000
1.318 -1.054 0.000
3.550 1.095 0.000
5.974 4.911 2.324
3.550 -1.095 2.324
6.196 1.095 2.324
3.772 -4.911 2.324
6.196 -1.095 0.000
8.428 1.054 0.000
5.974 -4.911 0.000
8.428 -1.054 2.324
3.530 3.010 2.324
6.216 3.010 0.000
3.530 -3.010 0.000
6.216 -3.010 2.324
0.000 0.000 1.162
0.000 0.000 3.486
4.873 0.000 1.162
4.873 0.000 3.486
```